[1]
Entry from the Alexandria database: crystalline Ac2Ho2Tl3 at its relaxed geometry (PBE-GGA).

Calculated values
total DFT energy (no corrections) = -25.83 eV per cell
relative energy among the computed polymorphs = 0.000 eV per atom
calculated formation energy = -1.36 eV/f.u.

a = 13.5466 Å, b = 13.5466 Å, c = 3.6679 Å
α = 90.00°, β = 90.00°, γ = 160.31°
Atoms (fractional coordinates):
1 Ac 0.0758 0.9242 0.0000
2 Ac 0.9242 0.0758 0.0000
3 Ho 0.2052 0.7948 0.0000
4 Ho 0.7948 0.2052 0.0000
5 Tl 0.3390 0.6610 0.5000
6 Tl 0.5000 0.5000 0.5000
7 Tl 0.6610 0.3390 0.5000


[2]
Entry from the Alexandria database: crystalline NiAgP2Se8 at its relaxed geometry (PBE-GGA).

Calculated values
total DFT energy (no corrections) = -46.03 eV per cell
uncorrected formation energy = 0.108 eV/atom

a = 5.6613 Å, b = 5.6613 Å, c = 10.8943 Å
α = 90.00°, β = 90.00°, γ = 120.00°
Atoms (fractional coordinates):
1 Ni 0.0000 0.0000 0.0000
2 Ag 0.0000 0.0000 0.5000
3 P 0.3333 0.6667 0.2242
4 P 0.6667 0.3333 0.7758
5 Se 0.0562 0.7061 0.8542
6 Se 0.2939 0.3501 0.8542
7 Se 0.3333 0.6667 0.4232
8 Se 0.3501 0.0562 0.1458
9 Se 0.6499 0.9438 0.8542
10 Se 0.6667 0.3333 0.5768
11 Se 0.7061 0.6499 0.1458
12 Se 0.9438 0.2939 0.1458


[3]
Entry from the Alexandria database: crystalline Ti11In9Co4 at its relaxed geometry (PBE-GGA).

Calculated values
total DFT energy (no corrections) = -145.56 eV per cell
calculated formation energy = -5.65 eV/f.u.

a = 11.9358 Å, b = 11.9358 Å, c = 3.1318 Å
α = 90.00°, β = 90.00°, γ = 110.48°
Atoms (fractional coordinates):
1 Ti 0.0000 0.0000 0.0000
2 Ti 0.0854 0.4272 0.0000
3 Ti 0.1455 0.8545 0.0000
4 Ti 0.3188 0.3188 0.0000
5 Ti 0.3738 0.6262 0.0000
6 Ti 0.4272 0.0854 0.0000
7 Ti 0.5728 0.9146 0.0000
8 Ti 0.6262 0.3738 0.0000
9 Ti 0.6812 0.6812 0.0000
10 Ti 0.8545 0.1455 0.0000
11 Ti 0.9146 0.5728 0.0000
12 In 0.0768 0.2242 0.5000
13 In 0.1452 0.6411 0.5000
14 In 0.2242 0.0768 0.5000
15 In 0.3589 0.8548 0.5000
16 In 0.5000 0.5000 0.5000
17 In 0.6411 0.1452 0.5000
18 In 0.7758 0.9232 0.5000
19 In 0.8548 0.3589 0.5000
20 In 0.9232 0.7758 0.5000
21 Co 0.2492 0.4568 0.5000
22 Co 0.4568 0.2492 0.5000
23 Co 0.5432 0.7508 0.5000
24 Co 0.7508 0.5432 0.5000


[4]
Entry from the Alexandria database: crystalline K2MgTe3 at its relaxed geometry (PBE-GGA).

Calculated values
total DFT energy (no corrections) = -72.48 eV per cell
uncorrected formation energy = -0.817 eV/atom

a = 7.5164 Å, b = 4.8125 Å, c = 25.8876 Å
α = 90.00°, β = 90.00°, γ = 90.00°
Atoms (fractional coordinates):
1 K 0.1568 0.2500 0.0829
2 K 0.2400 0.7500 0.7756
3 K 0.2600 0.2500 0.2756
4 K 0.3432 0.7500 0.5829
5 K 0.6568 0.2500 0.4171
6 K 0.7400 0.7500 0.7244
7 K 0.7600 0.2500 0.2244
8 K 0.8432 0.7500 0.9171
9 Mg 0.0501 0.7500 0.4508
10 Mg 0.4499 0.2500 0.9508
11 Mg 0.5501 0.7500 0.0492
12 Mg 0.9499 0.2500 0.5492
13 Te 0.0314 0.2500 0.6562
14 Te 0.1050 0.7500 0.1804
15 Te 0.2342 0.2500 0.4777
16 Te 0.2658 0.7500 0.9777
17 Te 0.3950 0.2500 0.6804
18 Te 0.4686 0.7500 0.1562
19 Te 0.5314 0.2500 0.8438
20 Te 0.6050 0.7500 0.3196
21 Te 0.7342 0.2500 0.0223
22 Te 0.7658 0.7500 0.5223
23 Te 0.8950 0.2500 0.8196
24 Te 0.9686 0.7500 0.3438